No. 1
An optimized crystal structure of Pm4PrNd2Er2. Source: Alexandria, functional PBE.

## Properties
The final energy is -42.3 eV for the cell shown. As for the energy of formation from the pure elements: 18 meV per atom.

Cell lengths 5.1410, 8.1300, 8.1070 Å; angles 107.59, 90.00, 108.43 degrees
Closest atoms and distances in Å follow each position.
Atoms (fractional coordinates):
Pm 0.7779 0.5559 0.6697  3 Er 3.59-3.61, 1 Pr 3.61, 3 Nd 3.63-3.65, 5 Pm 3.64-3.66
Pr 0.0000 0.0000 0.0000  6 Pm 3.61-3.62, 2 Nd 3.63, 4 Er 3.65
Pm 0.2221 0.4441 0.3303  3 Er 3.59-3.61, 1 Pr 3.61, 3 Nd 3.63-3.65, 5 Pm 3.64-3.66
Pm 0.4444 0.8889 0.6683  2 Pr 3.62, 2 Er 3.64, 4 Pm 3.64-3.66, 4 Nd 3.64-3.65
Pm 0.5556 0.1111 0.3317  2 Pr 3.62, 2 Er 3.64, 4 Pm 3.64-3.66, 4 Nd 3.64-3.65
Er 0.6681 0.3362 0.9996  5 Pm 3.59-3.64, 3 Nd 3.60-3.62, 2 Er 3.60, 2 Pr 3.65
Er 0.3319 0.6638 0.0004  5 Pm 3.59-3.64, 3 Nd 3.60-3.62, 2 Er 3.60, 2 Pr 3.65
Nd 0.8881 0.7763 0.3326  3 Er 3.60-3.62, 7 Pm 3.63-3.65, 1 Pr 3.63, 1 Nd 3.65
Nd 0.1119 0.2237 0.6674  3 Er 3.60-3.62, 7 Pm 3.63-3.65, 1 Pr 3.63, 1 Nd 3.65



No. 2
An optimized crystal structure of Pm4Pr2NdEr. Source: Alexandria, functional PBE.

## Properties
The final energy is -69.8 eV for the cell shown. As for the energy of formation from the pure elements: 374 meV per atom.

Cell lengths 9.6567, 9.6567, 12.0014 Å; angles 128.31, 128.31, 88.43 degrees
Closest atoms and distances in Å follow each position.
Atoms (fractional coordinates):
Pm 0.2424 0.7566 0.9996  1 Er 3.27, 2 Nd 3.46-3.47, 3 Pr 3.46-3.47, 2 Pm 3.47-3.48
Pr 0.5000 0.0000 0.0000  6 Pm 3.38-3.47, 2 Nd 3.47
Pr 0.0000 0.0000 0.5000  6 Pm 3.44-3.60, 2 Pr 3.47
Pm 0.7433 0.2576 0.5004  1 Er 3.27, 2 Nd 3.46-3.47, 3 Pr 3.46-3.47, 2 Pm 3.47-3.48
Pr 0.5000 0.0000 0.5000  6 Pm 3.38-3.47, 2 Nd 3.47
Pm 0.7724 0.7716 0.5270  2 Er 3.34-3.49, 1 Nd 3.37, 3 Pr 3.38-3.60, 2 Pm 3.47
Er 0.0000 0.0000 0.0000  6 Pm 3.27-3.49, 2 Er 3.47
Nd 0.0000 0.5000 0.0000  6 Pm 3.37-3.47, 2 Pr 3.47
Er 0.5000 0.5000 0.5000  6 Pm 3.27-3.49, 2 Er 3.47
Pr 0.5000 0.5000 0.0000  6 Pm 3.44-3.60, 2 Pr 3.47
Pm 0.2566 0.7423 0.4996  1 Er 3.27, 2 Nd 3.46-3.47, 3 Pr 3.46-3.47, 2 Pm 3.47-3.48
Pm 0.7284 0.7276 0.9730  2 Er 3.35-3.49, 1 Nd 3.37, 3 Pr 3.38-3.60, 2 Pm 3.47
Pm 0.7577 0.2434 0.0004  1 Er 3.27, 2 Nd 3.46-3.47, 3 Pr 3.46-3.47, 2 Pm 3.47-3.48
Pm 0.2276 0.2284 0.4730  2 Er 3.35-3.49, 1 Nd 3.37, 3 Pr 3.38-3.60, 2 Pm 3.47
Nd 0.0000 0.5000 0.5000  6 Pm 3.37-3.47, 2 Pr 3.47
Pm 0.2716 0.2724 0.0270  2 Er 3.35-3.49, 1 Nd 3.37, 3 Pr 3.38-3.60, 2 Pm 3.47



No. 3
An optimized crystal structure of Pm3Pr6NdEr2. Source: Alexandria, functional PBE.

## Properties
The final energy is -56.7 eV for the cell shown. As for the energy of formation from the pure elements: 14 meV per atom.

Cell lengths 6.3567, 6.3567, 12.0745 Å; angles 95.03, 95.03, 120.01 degrees
Closest atoms and distances in Å follow each position.
Atoms (fractional coordinates):
Pr 0.0831 0.4176 0.2477  2 Er 3.62-3.63, 1 Nd 3.63, 6 Pr 3.66-3.68, 3 Pm 3.67-3.68
Nd 0.0000 0.0000 0.0000  6 Pr 3.63, 6 Er 3.67
Pr 0.2511 0.2511 0.7524  2 Er 3.63, 1 Nd 3.63, 6 Pr 3.66-3.68, 3 Pm 3.67
Pr 0.9169 0.5824 0.7523  2 Er 3.62-3.63, 1 Nd 3.63, 6 Pr 3.66-3.68, 3 Pm 3.67-3.68
Pm 0.8332 0.1668 0.5000  6 Pr 3.67-3.68, 6 Pm 3.67
Pr 0.7489 0.7489 0.2476  2 Er 3.63, 1 Nd 3.63, 6 Pr 3.66-3.68, 3 Pm 3.67
Er 0.3334 0.6666 0.0000  6 Pr 3.62-3.63, 3 Er 3.67, 3 Nd 3.67
Pm 0.1668 0.8332 0.5000  6 Pr 3.67-3.68, 6 Pm 3.67
Pr 0.5824 0.9169 0.7523  2 Er 3.62-3.63, 1 Nd 3.63, 6 Pr 3.66-3.68, 3 Pm 3.67-3.68
Pr 0.4176 0.0831 0.2477  2 Er 3.62-3.63, 1 Nd 3.63, 6 Pr 3.66-3.68, 3 Pm 3.67-3.68
Pm 0.5000 0.5000 0.5000  6 Pm 3.67, 6 Pr 3.67
Er 0.6666 0.3334 0.0000  6 Pr 3.62-3.63, 3 Er 3.67, 3 Nd 3.67



No. 4
An optimized crystal structure of PmPr2NdEr4. Source: Alexandria, functional PBE.

## Properties
The final energy is -37.3 eV for the cell shown. As for the energy of formation from the pure elements: 2 meV per atom.

Cell lengths 3.6137, 6.2607, 13.1583 Å; angles 61.61, 90.00, 90.00 degrees
Closest atoms and distances in Å follow each position.
Atoms (fractional coordinates):
Pr 0.0000 0.0000 0.0000  6 Er 3.56-3.57, 2 Pr 3.61, 4 Pm 3.61
Nd 0.0000 0.5000 0.5000  6 Er 3.57, 2 Nd 3.61, 4 Pr 3.61
Er 0.0000 0.0832 0.2496  3 Pr 3.56-3.57, 2 Pm 3.57, 1 Nd 3.57, 6 Er 3.61
Pm 0.5000 0.5000 0.0000  6 Er 3.56-3.57, 2 Pm 3.61, 4 Pr 3.61
Er 0.5000 0.5830 0.2498  1 Pm 3.56, 3 Pr 3.57, 2 Nd 3.57, 6 Er 3.61
Er 0.5000 0.4170 0.7502  1 Pm 3.56, 3 Pr 3.57, 2 Nd 3.57, 6 Er 3.61
Pr 0.5000 0.0000 0.5000  6 Er 3.57, 2 Pr 3.61, 4 Nd 3.61
Er 0.0000 0.9168 0.7504  3 Pr 3.56-3.57, 2 Pm 3.57, 1 Nd 3.57, 6 Er 3.61



No. 5
An optimized crystal structure of Pm2Pr4NdEr. Source: Alexandria, functional PBE.

## Properties
The final energy is -37.8 eV for the cell shown. As for the energy of formation from the pure elements: 13 meV per atom.

Cell lengths 5.2090, 5.1851, 11.5673 Å; angles 63.31, 90.00, 90.00 degrees
Closest atoms and distances in Å follow each position.
Atoms (fractional coordinates):
Pr 0.5000 0.2529 0.7475  4 Pm 3.64-3.69, 2 Er 3.65, 4 Pr 3.67-3.68, 2 Nd 3.68
Er 0.0000 0.5000 0.5000  8 Pr 3.63-3.65, 4 Pm 3.67
Pm 0.5000 0.0000 0.5000  8 Pr 3.64-3.65, 4 Er 3.67
Nd 0.5000 0.5000 0.0000  4 Pm 3.67, 8 Pr 3.68-3.69
Pr 0.5000 0.7471 0.2525  4 Pm 3.64-3.69, 2 Er 3.65, 4 Pr 3.67-3.68, 2 Nd 3.68
Pr 0.0000 0.7536 0.7469  2 Er 3.63-3.64, 4 Pm 3.65-3.68, 4 Pr 3.67-3.68, 2 Nd 3.69
Pm 0.0000 0.0000 0.0000  4 Nd 3.67, 8 Pr 3.68-3.69
Pr 0.0000 0.2464 0.2531  2 Er 3.63-3.64, 4 Pm 3.65-3.68, 4 Pr 3.67-3.68, 2 Nd 3.69



No. 6
An optimized crystal structure of PmPrNd2Er. Source: Alexandria, functional PBE.

## Properties
The final energy is -44.6 eV for the cell shown. As for the energy of formation from the pure elements: 266 meV per atom.

Cell lengths 6.6383, 8.4468, 6.3173 Å; angles 93.31, 90.00, 90.00 degrees
Closest atoms and distances in Å follow each position.
Atoms (fractional coordinates):
Er 0.8362 0.5000 0.2500  8 Nd 3.51-3.86, 2 Er 3.84
Nd 0.3076 0.3105 0.2308  1 Pm 3.15, 1 Nd 3.20, 1 Er 3.51
Pr 0.0000 0.0000 0.5000  2 Pr 3.16, 2 Pm 3.28
Nd 0.6924 0.6895 0.7692  1 Pm 3.15, 1 Nd 3.20, 1 Er 3.51
Nd 0.3076 0.6895 0.2692  1 Pm 3.15, 1 Nd 3.20, 1 Er 3.51
Nd 0.6924 0.3105 0.7308  1 Pm 3.15, 1 Nd 3.20, 1 Er 3.51
Er 0.1638 0.5000 0.7500  8 Nd 3.51-3.86, 2 Er 3.84
Pm 0.5670 0.0000 0.2500  2 Nd 3.15, 2 Pr 3.28, 2 Pm 3.28
Pm 0.4330 0.0000 0.7500  2 Nd 3.15, 2 Pr 3.28, 2 Pm 3.28
Pr 0.0000 0.0000 0.0000  2 Pr 3.16, 2 Pm 3.28



No. 7
An optimized crystal structure of Pm6PrNd2Er3. Source: Alexandria, functional PBE.

## Properties
The final energy is -56.3 eV for the cell shown. As for the energy of formation from the pure elements: 18 meV per atom.

Cell lengths 6.2891, 6.2891, 11.9832 Å; angles 95.02, 95.02, 120.01 degrees
Closest atoms and distances in Å follow each position.
Atoms (fractional coordinates):
Er 0.1667 0.8333 0.5000  6 Pm 3.57, 6 Er 3.63
Nd 0.3333 0.6667 0.0000  3 Nd 3.63, 3 Pr 3.63, 6 Pm 3.67
Pm 0.9147 0.5812 0.7446  3 Er 3.57, 6 Pm 3.63, 2 Nd 3.67, 1 Pr 3.67
Pr 0.0000 0.0000 0.0000  6 Nd 3.63, 6 Pm 3.67
Pm 0.5812 0.9147 0.7446  3 Er 3.57, 6 Pm 3.63, 2 Nd 3.67, 1 Pr 3.67
Pm 0.4188 0.0853 0.2554  3 Er 3.57, 6 Pm 3.63, 2 Nd 3.67, 1 Pr 3.67
Pm 0.7517 0.7517 0.2554  3 Er 3.57, 6 Pm 3.63, 2 Nd 3.67, 1 Pr 3.67
Pm 0.2483 0.2483 0.7446  3 Er 3.57, 6 Pm 3.63, 2 Nd 3.67, 1 Pr 3.67
Nd 0.6667 0.3333 0.0000  3 Nd 3.63, 3 Pr 3.63, 6 Pm 3.67
Er 0.8333 0.1667 0.5000  6 Pm 3.57, 6 Er 3.63
Pm 0.0853 0.4188 0.2554  3 Er 3.57, 6 Pm 3.63, 2 Nd 3.67, 1 Pr 3.67
Er 0.5000 0.5000 0.5000  6 Pm 3.57, 6 Er 3.63



No. 8
An optimized crystal structure of PmPr2NdEr. Source: Alexandria, functional PBE.

## Properties
The final energy is -44.7 eV for the cell shown. As for the energy of formation from the pure elements: 259 meV per atom.

Cell lengths 6.7479, 8.3431, 6.3004 Å; angles 90.80, 90.00, 90.00 degrees
Closest atoms and distances in Å follow each position.
Atoms (fractional coordinates):
Nd 0.0000 0.0000 0.0000  2 Nd 3.15, 2 Pm 3.28
Pm 0.5741 0.0000 0.2500  2 Pr 3.14, 2 Nd 3.28, 2 Pm 3.31
Pr 0.3054 0.3071 0.2451  1 Pm 3.14, 1 Pr 3.22
Pr 0.6946 0.6929 0.7549  1 Pm 3.14, 1 Pr 3.22
Er 0.8406 0.5000 0.2500  6 Pr 3.52-3.68, 2 Er 3.81
Pm 0.4259 0.0000 0.7500  2 Pr 3.14, 2 Nd 3.28, 2 Pm 3.31
Er 0.1594 0.5000 0.7500  6 Pr 3.52-3.68, 2 Er 3.81
Nd 0.0000 0.0000 0.5000  2 Nd 3.15, 2 Pm 3.28
Pr 0.6946 0.3071 0.7451  1 Pm 3.14, 1 Pr 3.22
Pr 0.3054 0.6929 0.2549  1 Pm 3.14, 1 Pr 3.22



No. 9
An optimized crystal structure of PmPr3Nd2Er6. Source: Alexandria, functional PBE.

## Properties
The final energy is -55.8 eV for the cell shown. As for the energy of formation from the pure elements: 14 meV per atom.

Cell lengths 6.2573, 6.2573, 11.7837 Å; angles 95.07, 95.07, 119.98 degrees
Closest atoms and distances in Å follow each position.
Atoms (fractional coordinates):
Er 0.5838 0.9170 0.7511  2 Nd 3.56, 1 Pm 3.56, 3 Pr 3.58, 6 Er 3.61
Pr 0.5000 0.5000 0.5000  6 Er 3.58, 6 Pr 3.61
Nd 0.6666 0.3334 0.0000  6 Er 3.56, 3 Nd 3.61, 3 Pm 3.61
Pr 0.8333 0.1667 0.5000  6 Er 3.58, 6 Pr 3.61
Er 0.0830 0.4162 0.2489  2 Nd 3.56, 1 Pm 3.56, 3 Pr 3.58, 6 Er 3.61
Pr 0.1667 0.8333 0.5000  6 Er 3.58, 6 Pr 3.61
Er 0.7498 0.7498 0.2489  1 Pm 3.56, 2 Nd 3.56, 3 Pr 3.58, 6 Er 3.61
Nd 0.3334 0.6666 0.0000  6 Er 3.56, 3 Nd 3.61, 3 Pm 3.61
Er 0.9170 0.5838 0.7511  2 Nd 3.56, 1 Pm 3.56, 3 Pr 3.58, 6 Er 3.61
Er 0.2502 0.2502 0.7511  1 Pm 3.56, 2 Nd 3.56, 3 Pr 3.58, 6 Er 3.61
Pm 0.0000 0.0000 0.0000  6 Er 3.56, 6 Nd 3.61
Er 0.4162 0.0830 0.2489  2 Nd 3.56, 1 Pm 3.56, 3 Pr 3.58, 6 Er 3.61



No. 10
An optimized crystal structure of PmPr2Nd3Er6. Source: Alexandria, functional PBE.

## Properties
The final energy is -55.8 eV for the cell shown. As for the energy of formation from the pure elements: 14 meV per atom.

Cell lengths 6.2494, 6.2494, 11.7820 Å; angles 95.06, 95.06, 119.99 degrees
Closest atoms and distances in Å follow each position.
Atoms (fractional coordinates):
Pr 0.6665 0.3335 0.0000  6 Er 3.57, 3 Pr 3.60-3.61, 3 Pm 3.61
Nd 0.8332 0.1668 0.5000  6 Er 3.57, 6 Nd 3.61
Er 0.0836 0.4167 0.2503  3 Nd 3.57, 2 Pr 3.57, 1 Pm 3.57, 6 Er 3.61
Nd 0.5000 0.5000 0.5000  6 Er 3.57, 6 Nd 3.61
Pr 0.3335 0.6665 0.0000  6 Er 3.57, 3 Pr 3.60-3.61, 3 Pm 3.61
Er 0.5833 0.9164 0.7497  3 Nd 3.57, 2 Pr 3.57, 1 Pm 3.57, 6 Er 3.61
Er 0.2494 0.2494 0.7496  3 Nd 3.57, 1 Pm 3.57, 2 Pr 3.57, 6 Er 3.61
Er 0.7506 0.7506 0.2504  3 Nd 3.57, 1 Pm 3.57, 2 Pr 3.57, 6 Er 3.61
Er 0.4167 0.0836 0.2503  3 Nd 3.57, 2 Pr 3.57, 1 Pm 3.57, 6 Er 3.61
Er 0.9164 0.5833 0.7497  3 Nd 3.57, 2 Pr 3.57, 1 Pm 3.57, 6 Er 3.61
Nd 0.1668 0.8332 0.5000  6 Er 3.57, 6 Nd 3.61
Pm 0.0000 0.0000 0.0000  6 Er 3.57, 6 Pr 3.61



No. 11
An optimized crystal structure of PmPrNdEr3. Source: Alexandria, functional PBE.

## Properties
The final energy is -53.8 eV for the cell shown. As for the energy of formation from the pure elements: 184 meV per atom.

Cell lengths 5.6204, 10.3451, 7.1136 Å; angles 90.06, 90.00, 105.76 degrees
Closest atoms and distances in Å follow each position.
Atoms (fractional coordinates):
Er 0.7782 0.5564 0.7512  3 Pr 3.31-3.51, 3 Pm 3.31-3.50, 1 Nd 3.33, 2 Er 3.60
Er 0.1651 0.3303 0.7454  2 Pm 3.48, 2 Pr 3.51, 4 Er 3.60-3.75
Pm 0.3513 0.7027 0.5399  1 Pr 3.01, 2 Er 3.21-3.31
Nd 0.9456 0.8912 0.7457  3 Er 3.22-3.33
Er 0.4758 0.9517 0.2536  1 Pm 3.21, 1 Pr 3.21, 2 Nd 3.22
Er 0.5242 0.0483 0.7464  1 Pm 3.21, 1 Pr 3.21, 2 Nd 3.22
Pm 0.6487 0.2973 0.4601  1 Pr 3.01, 2 Er 3.21-3.31
Nd 0.0544 0.1088 0.2543  3 Er 3.22-3.33
Pr 0.3525 0.7050 0.9626  1 Pm 3.01, 2 Er 3.21-3.31
Pr 0.6475 0.2950 0.0374  1 Pm 3.01, 2 Er 3.21-3.31
Er 0.8349 0.6697 0.2546  2 Pm 3.48, 2 Pr 3.51, 4 Er 3.60-3.75
Er 0.2218 0.4436 0.2488  3 Pr 3.31-3.51, 3 Pm 3.31-3.50, 1 Nd 3.33, 2 Er 3.60



No. 12
An optimized crystal structure of Pm6Pr3NdEr2. Source: Alexandria, functional PBE.

## Properties
The final energy is -56.5 eV for the cell shown. As for the energy of formation from the pure elements: 17 meV per atom.

Cell lengths 6.3164, 6.3164, 12.0912 Å; angles 95.01, 95.01, 120.00 degrees
Closest atoms and distances in Å follow each position.
Atoms (fractional coordinates):
Pm 0.7480 0.7480 0.2459  2 Er 3.60, 1 Nd 3.61, 6 Pm 3.64-3.66, 3 Pr 3.68-3.69
Pr 0.1670 0.8330 0.5000  6 Pr 3.64-3.65, 6 Pm 3.68-3.69
Pr 0.8330 0.1670 0.5000  6 Pr 3.64-3.65, 6 Pm 3.68-3.69
Pm 0.2520 0.2520 0.7541  2 Er 3.60, 1 Nd 3.61, 6 Pm 3.64-3.66, 3 Pr 3.68-3.69
Er 0.3334 0.6666 0.0000  6 Pm 3.60-3.61, 3 Er 3.65, 3 Nd 3.65
Pm 0.5832 0.9176 0.7541  2 Er 3.60-3.61, 1 Nd 3.61, 6 Pm 3.64-3.66, 3 Pr 3.68-3.69
Nd 0.0000 0.0000 0.0000  6 Pm 3.61, 6 Er 3.65
Pm 0.0824 0.4168 0.2459  2 Er 3.60-3.61, 1 Nd 3.61, 6 Pm 3.64-3.66, 3 Pr 3.68-3.69
Er 0.6666 0.3334 0.0000  6 Pm 3.60-3.61, 3 Er 3.65, 3 Nd 3.65
Pm 0.4168 0.0824 0.2459  2 Er 3.60-3.61, 1 Nd 3.61, 6 Pm 3.64-3.66, 3 Pr 3.68-3.69
Pm 0.9176 0.5832 0.7541  2 Er 3.60-3.61, 1 Nd 3.61, 6 Pm 3.64-3.66, 3 Pr 3.68-3.69
Pr 0.5000 0.5000 0.5000  6 Pr 3.64-3.65, 6 Pm 3.68-3.69